## TiCrHRu2 (PBE)

Data for a relaxed structure of TiCrHRu2.

Values from the calculation:
E_tot (eV per atom): -8.04
Magnetization (μB/f.u.): 2.74
E above lowest polymorph (meV per atom): 0
Crystal system: tetragonal

a b c (Å): 4.0612 4.0612 3.5741
angles (deg): 90.00 90.00 90.00
Fractional coordinates of all 5 atoms:
Ru (0.0000, 0.5000, 0.0000)
Ru (0.5000, 0.0000, 0.0000)
Ti (0.5000, 0.5000, 0.5000)
Cr (0.0000, 0.0000, 0.5000)
H (0.0000, 0.0000, 0.0000)



## CrRhBr2 (PBE)

Data for a relaxed structure of CrRhBr2.

Values from the calculation:
E_tot (eV per atom): -5.00
Magnetization (μB/f.u.): 3.00
E above lowest polymorph (meV per atom): 148
Crystal system: tetragonal
Formation energy from raw total energies (meV per atom): 77.9

a b c (Å): 3.5174 3.5174 7.0840
angles (deg): 90.00 90.00 90.00
Fractional coordinates of all 4 atoms:
Br (0.5000, 0.5000, 0.3525)
Br (0.0000, 0.0000, 0.9016)
Cr (0.0000, 0.0000, 0.5452)
Rh (0.5000, 0.5000, 0.7007)



## Ta2Fe2Bi (PBE)

Data for a relaxed structure of Ta2Fe2Bi.

Values from the calculation:
E_tot (eV per atom): -8.69
Magnetization (μB/f.u.): 0.00
Crystal system: tetragonal
ΔE_f (meV per atom): 212

a b c (Å): 7.3952 7.3952 3.0375
angles (deg): 90.00 90.00 90.00
Fractional coordinates of all 10 atoms:
Bi (0.0000, 0.0000, 0.0000)
Bi (0.5000, 0.5000, 0.0000)
Fe (0.3701, 0.8701, 0.0000)
Fe (0.6299, 0.1299, 0.0000)
Fe (0.1299, 0.3701, 0.0000)
Fe (0.8701, 0.6299, 0.0000)
Ta (0.1494, 0.6494, 0.5000)
Ta (0.6494, 0.8506, 0.5000)
Ta (0.8506, 0.3506, 0.5000)
Ta (0.3506, 0.1494, 0.5000)



Q: Which of these has the lowest E_tot?
A: Ta2Fe2Bi